one.
Material: ZrTlTc2
Method: DFT, PBEsol
State: optimized geometry

CIF file:
```
data_ZrTlTc2
_cell_length_a 6.525
_cell_length_b 6.525
_cell_length_c 6.525
_cell_angle_alpha 90.00
_cell_angle_beta 90.00
_cell_angle_gamma 90.00
_symmetry_space_group_name_H-M 'F -4 3 m'
_symmetry_Int_Tables_number 216
_symmetry_space_group_name_Hall 'F -4 2 3'
loop_
_atom_site_label
_atom_site_type_symbol
_atom_site_fract_x
_atom_site_fract_y
_atom_site_fract_z
Zr1 Zr 0.000 0.000 0.000
Tl1 Tl 0.250 0.250 0.750
Tc1 Tc 0.000 0.000 0.500
Tc2 Tc 0.250 0.250 0.250
```

Computed properties:
V: 277.8 Å³ per cell
total moment: 0.000 μB/atom

---

two.
Material: ZrTlTc2
Method: DFT, PBEsol
State: optimized geometry

CIF file:
```
data_ZrTlTc2
_cell_length_a 2.9313
_cell_length_b 2.9313
_cell_length_c 28.5621
_cell_angle_alpha 90.00
_cell_angle_beta 90.00
_cell_angle_gamma 120.00
_symmetry_space_group_name_H-M 'R 3 m'
_symmetry_Int_Tables_number 160
_symmetry_space_group_name_Hall 'R 3 -2"'
loop_
_atom_site_label
_atom_site_type_symbol
_atom_site_fract_x
_atom_site_fract_y
_atom_site_fract_z
Zr1 Zr 0.0000 0.0000 0.0000
Tl1 Tl 0.0000 0.0000 0.7608
Tc1 Tc 0.0000 0.0000 0.2467
Tc2 Tc 0.0000 0.0000 0.5129
```

Computed properties:
V: 212.5 Å³ per cell
total moment: 0.000 μB/atom

---

three.
Material: ZrTlTc2
Method: DFT, PBEsol
State: optimized geometry

CIF file:
```
data_ZrTlTc2
_cell_length_a 3.286
_cell_length_b 4.471
_cell_length_c 9.397
_cell_angle_alpha 90.00
_cell_angle_beta 90.00
_cell_angle_gamma 90.00
_symmetry_space_group_name_H-M 'I m m 2'
_symmetry_Int_Tables_number 44
loop_
_symmetry_equiv_pos_as_xyz
'x,y,z'
'-x,-y,z'
'-x,y,z'
'x,-y,z'
'x+1/2,y+1/2,z+1/2'
'-x+1/2,-y+1/2,z+1/2'
'-x+1/2,y+1/2,z+1/2'
'x+1/2,-y+1/2,z+1/2'
loop_
_atom_site_label
_atom_site_type_symbol
_atom_site_fract_x
_atom_site_fract_y
_atom_site_fract_z
Zr1 Zr 0.000 0.000 0.000
Tl1 Tl 0.000 0.500 0.227
Tc1 Tc 0.000 0.000 0.473
Tc2 Tc 0.000 0.500 0.749
```

Computed properties:
V: 138.0 Å³ per cell
total moment: 0.001 μB/atom

---

Most stable of them? three.

---

one.
Material: Tc2W
Method: DFT, PBEsol
State: optimized geometry

CIF file:
```
data_Tc2W
_cell_length_a 2.755
_cell_length_b 3.848
_cell_length_c 8.292
_cell_angle_alpha 90.00
_cell_angle_beta 90.00
_cell_angle_gamma 90.00
_symmetry_space_group_name_H-M 'I m m m'
_symmetry_Int_Tables_number 71
_symmetry_space_group_name_Hall '-I 2 2'
loop_
_atom_site_label
_atom_site_type_symbol
_atom_site_fract_x
_atom_site_fract_y
_atom_site_fract_z
Tc1 Tc 0.000 0.000 0.171
W1 W 0.000 0.000 0.500
```

Computed properties:
V: 87.9 Å³ per cell
total moment: 0.000 μB/atom

---

two.
Material: Tc2W
Method: DFT, PBEsol
State: optimized geometry

CIF file:
```
data_Tc2W
_cell_length_a 5.367
_cell_length_b 4.211
_cell_length_c 7.810
_cell_angle_alpha 90.00
_cell_angle_beta 90.00
_cell_angle_gamma 90.00
_symmetry_space_group_name_H-M 'P n m a'
_symmetry_Int_Tables_number 62
loop_
_symmetry_equiv_pos_as_xyz
'x,y,z'
'-x,-y,-z'
'-x+1/2,-y,z+1/2'
'x+1/2,y,-z+1/2'
'x+1/2,-y+1/2,-z+1/2'
'-x+1/2,y+1/2,z+1/2'
'-x,y+1/2,-z'
'x,-y+1/2,z'
loop_
_atom_site_label
_atom_site_type_symbol
_atom_site_fract_x
_atom_site_fract_y
_atom_site_fract_z
Tc1 Tc 0.035 0.250 0.233
Tc2 Tc 0.168 0.250 0.566
W1 W 0.173 0.250 0.904
```

Computed properties:
V: 176.5 Å³ per cell
total moment: 0.000 μB/atom

---

Most stable of them? two.

---

one.
Material: TcW2
Method: DFT, PBEsol
State: optimized geometry

CIF file:
```
data_TcW2
_cell_length_a 3.119
_cell_length_b 3.119
_cell_length_c 9.371
_cell_angle_alpha 90.00
_cell_angle_beta 90.00
_cell_angle_gamma 90.00
_symmetry_space_group_name_H-M 'I 4/m m m'
_symmetry_Int_Tables_number 139
_symmetry_space_group_name_Hall '-I 4 2'
loop_
_atom_site_label
_atom_site_type_symbol
_atom_site_fract_x
_atom_site_fract_y
_atom_site_fract_z
Tc1 Tc 0.000 0.000 0.000
W1 W 0.000 0.000 0.332
```

Computed properties:
V: 91.1 Å³ per cell
total moment: 0.000 μB/atom

---

two.
Material: TcW2
Method: DFT, PBEsol
State: optimized geometry

CIF file:
```
data_TcW2
_cell_length_a 9.856
_cell_length_b 3.121
_cell_length_c 6.267
_cell_angle_alpha 90.00
_cell_angle_beta 108.88
_cell_angle_gamma 90.00
_symmetry_space_group_name_H-M 'C 1 2/m 1'
_symmetry_Int_Tables_number 12
loop_
_symmetry_equiv_pos_as_xyz
'x,y,z'
'-x,-y,-z'
'-x,y,-z'
'x,-y,z'
'x+1/2,y+1/2,z'
'-x+1/2,-y+1/2,-z'
'-x+1/2,y+1/2,-z'
'x+1/2,-y+1/2,z'
loop_
_atom_site_label
_atom_site_type_symbol
_atom_site_fract_x
_atom_site_fract_y
_atom_site_fract_z
Tc1 Tc 0.162 0.000 0.087
W1 W 0.004 0.500 0.751
W2 W 0.168 0.000 0.585
```

Computed properties:
V: 182.4 Å³ per cell
total moment: 0.000 μB/atom

---

Most stable of them? two.

---

one.
Material: TcW2
Method: DFT, PBEsol
State: optimized geometry

CIF file:
```
data_TcW2
_cell_length_a 4.3864
_cell_length_b 4.3864
_cell_length_c 2.7316
_cell_angle_alpha 90.00
_cell_angle_beta 90.00
_cell_angle_gamma 120.00
_symmetry_space_group_name_H-M 'P -3 m 1'
_symmetry_Int_Tables_number 164
_symmetry_space_group_name_Hall '-P 3 2"'
loop_
_atom_site_label
_atom_site_type_symbol
_atom_site_fract_x
_atom_site_fract_y
_atom_site_fract_z
Tc1 Tc 0.0000 0.0000 0.0000
W1 W 0.3333 0.6667 0.6628
```

Computed properties:
V: 45.5 Å³ per cell
total moment: 0.000 μB/atom

---

two.
Material: TcW2
Method: DFT, PBEsol
State: optimized geometry

CIF file:
```
data_TcW2
_cell_length_a 3.124
_cell_length_b 13.206
_cell_length_c 4.423
_cell_angle_alpha 90.00
_cell_angle_beta 90.00
_cell_angle_gamma 90.00
_symmetry_space_group_name_H-M 'C m c m'
_symmetry_Int_Tables_number 63
_symmetry_space_group_name_Hall '-C 2c 2'
loop_
_atom_site_label
_atom_site_type_symbol
_atom_site_fract_x
_atom_site_fract_y
_atom_site_fract_z
Tc1 Tc 0.000 0.081 0.250
W1 W 0.000 0.248 0.750
W2 W 0.000 0.416 0.250
```

Computed properties:
V: 182.5 Å³ per cell
total moment: 0.000 μB/atom

---

Most stable of them? two.